Entry 1:
TbNd2Zn (PBE, relaxed); uncorrected energy = -3.8219 eV/atom; energy above the most stable polymorph in this dataset = 192 meV/atom; energy of formation from the pure elements = 0.038 eV per atom; space-group type = Fm-3m, No. 225
1.0
-5.095 1.823 -0.720
-3.123 -2.113 -3.948
-4.245 -3.182 1.287
Zn Nd Tb
1 2 1
Cartesian
0.000 0.000 0.000
-9.348 -2.604 -2.536
-3.116 -0.868 -0.845
-6.232 -1.736 -1.691

---

Entry 2:
Na4ZnSn (PBE, relaxed); uncorrected energy = -1.8283 eV/atom; energy of formation from the pure elements = -0.070 eV per atom; space-group type = Cmc2_1, No. 36
1.0
-2.393 -1.160 -4.814
-0.886 -5.440 4.893
-7.752 3.886 2.916
Sn Na Zn
2 8 2
Cartesian
-1.697 -1.479 1.200
-7.478 -2.166 1.098
-4.611 -1.667 -0.448
-7.722 -0.394 3.933
-2.492 -4.064 -0.924
-4.817 -0.517 2.519
-5.571 -4.948 0.820
-1.759 -0.884 -2.054
-6.175 -3.382 3.885
-6.465 2.737 2.554
-7.462 0.427 0.465
-3.215 -3.319 2.398

---

Entry 3:
Dy11Cd9Pt4 (PBE, relaxed); uncorrected energy = -4.1333 eV/atom; energy of formation from the pure elements = -0.674 eV per atom; space-group type = Cmmm, No. 65
1.0
-2.535 -0.257 -2.607
-5.058 -10.669 5.970
-5.441 11.314 4.177
Pt Dy Cd
4 11 9
Cartesian
-8.135 2.488 5.117
-4.900 -2.099 2.423
-8.058 -1.905 5.475
-4.976 2.294 2.065
-7.989 4.211 7.354
-7.859 -3.237 7.962
-5.379 7.744 4.468
-2.510 -3.566 2.793
-5.120 -7.099 5.679
0.000 0.000 0.000
-2.640 3.882 2.185
-7.295 0.448 7.051
-5.200 -2.495 5.303
-5.299 3.140 4.844
-3.204 0.197 3.096
-5.508 5.394 2.277
-2.724 -1.615 0.260
-10.310 2.003 7.280
-6.517 0.194 3.770
-10.255 -1.153 7.538
-7.710 5.529 4.404
-2.779 1.541 0.002
-5.325 -5.141 3.136
-7.526 -5.006 5.263

---

Entry 4:
PuThTe (PBE, relaxed); uncorrected energy = -8.7763 eV/atom; energy above the most stable polymorph in this dataset = 44 meV/atom; space-group type = I4mm, No. 107; formation energy (no corrections) = -0.478 eV per atom
1.0
-1.014 0.428 -3.971
1.522 -3.747 -0.793
-4.722 -0.351 3.306
Te Pu Th
1 1 1
Cartesian
-1.189 -2.309 -2.083
-0.147 -0.066 0.030
-2.878 -1.295 0.595

---

Entry 5:
AcLuTlPd (PBE, relaxed); uncorrected energy = -4.4763 eV/atom; energy of formation from the pure elements = -0.429 eV per atom; space-group type = F-43m, No. 216
1.0
5.380 0.000 0.000
2.690 4.659 0.000
2.690 1.553 4.393
Ac Tl Pd Lu
1 1 1 1
Cartesian
8.070 4.659 3.294
0.000 0.000 0.000
5.380 3.106 2.196
2.690 1.553 1.098

---

Entry 6:
YErInCo (PBE, relaxed); uncorrected energy = -5.4323 eV/atom; energy of formation from the pure elements = -0.214 eV per atom; space-group type = F-43m, No. 216
1.0
-3.966 -0.741 -3.067
-1.803 -4.681 -0.724
-4.494 -1.313 1.941
In Co Y Er
1 1 1 1
Cartesian
-2.566 -1.684 -0.463
-7.697 -5.052 -1.388
0.000 0.000 0.000
-5.131 -3.368 -0.925

---

Entry 7:
MgTi (PBE, relaxed); uncorrected energy = -4.6609 eV/atom; energy of formation from the pure elements = 0.084 eV per atom; space-group type = Amm2, No. 38
1.0
8.468 -0.018 0.000
-7.950 2.918 0.000
0.000 0.000 4.788
Ti Mg
3 3
Cartesian
-2.341 1.915 0.000
4.923 0.616 2.394
-0.988 1.673 2.394
-6.230 2.610 2.394
8.446 -0.014 0.000
3.217 0.921 0.000

---

Entry 8:
NbRhF3 (PBE, relaxed); uncorrected energy = -5.6612 eV/atom; energy above the most stable polymorph in this dataset = 0 meV/atom; space-group type = Pm-3m, No. 221; formation energy (no corrections) = -1.054 eV per atom
1.0
-3.404 -0.803 2.269
-2.109 -0.900 -3.482
1.160 -3.991 0.328
F Nb Rh
3 1 1
Cartesian
-1.055 -0.450 -1.741
0.580 -1.996 0.164
-1.702 -0.402 1.135
0.000 0.000 0.000
-2.177 -2.847 -0.442

---

Entry 9:
TaNbSi (PBE, relaxed); uncorrected energy = -9.4239 eV/atom; space-group type = I4mm, No. 107; formation energy (no corrections) = -0.309 eV per atom
1.0
3.402 0.000 0.000
0.000 3.402 0.000
-1.701 -1.701 4.328
Si Ta Nb
1 1 1
Cartesian
0.000 0.000 2.453
1.701 1.701 1.025
1.701 1.701 3.880

---

Entry 10:
Tl4RuCl (PBE, relaxed); uncorrected energy = -2.7946 eV/atom; space-group type = F-43m, No. 216; formation energy (no corrections) = 0.637 eV per atom
1.0
-5.075 2.597 2.533
-4.646 1.982 -3.660
-5.436 -3.060 -0.073
Tl Ru Cl
4 1 1
Cartesian
-8.008 1.563 -2.283
-8.403 -0.963 -0.487
-8.222 1.870 0.819
-5.680 0.569 -0.450
0.000 0.000 0.000
-11.367 1.140 -0.900

---

Entry 11:
Pr8N4O (PBE, relaxed); uncorrected energy = -7.0336 eV/atom; space-group type = F-43m, No. 216; formation energy (no corrections) = -1.149 eV per atom
1.0
6.493 0.000 3.749
2.164 6.122 3.749
0.000 0.000 7.497
N Pr O
4 8 1
Cartesian
3.256 2.302 9.355
6.474 2.302 7.497
3.256 2.302 5.640
4.329 5.336 7.497
1.175 0.831 5.462
1.175 0.831 2.035
2.164 3.629 3.749
5.369 3.796 9.299
4.329 0.854 7.497
5.369 3.796 5.695
4.143 0.831 3.749
2.248 3.796 7.497
6.493 4.591 11.246

---

Entry 12:
AlC2 (PBE, relaxed); uncorrected energy = -7.1095 eV/atom; energy above the most stable polymorph in this dataset = 0 meV/atom; energy of formation from the pure elements = 0.287 eV per atom; space-group type = R3m, No. 160
1.0
-4.717 -6.288 -2.789
-3.470 -7.519 -0.996
-5.538 -6.223 -0.421
C Al
2 1
Cartesian
-11.438 -16.693 -3.505
-6.863 -10.016 -2.103
-13.723 -20.027 -4.205

---

Entry 13:
Tl12SnBi3 (PBE, relaxed); uncorrected energy = -2.7616 eV/atom; energy of formation from the pure elements = -0.009 eV per atom; space-group type = P4/mmm, No. 123
1.0
-4.120 2.850 -0.584
-2.831 -4.161 -0.335
-2.603 0.208 19.395
Tl Bi Sn
12 3 1
Cartesian
-3.033 1.503 6.954
-4.777 -0.551 9.238
-2.388 -2.003 7.079
-3.476 -0.655 -0.459
-3.700 -1.898 16.853
-5.429 -0.499 14.097
-3.691 1.556 11.857
-1.734 -2.055 2.206
-4.345 1.608 16.729
-3.046 -1.950 11.981
-2.379 1.451 2.082
-4.125 -0.603 4.379
-1.302 0.104 9.697
-1.966 0.157 14.645
-0.637 0.051 4.749
0.000 0.000 0.000

---

Entry 14:
ZrMo3 (PBE, relaxed); uncorrected energy = -10.0426 eV/atom; energy of formation from the pure elements = 0.218 eV per atom; space-group type = Pm-3n, No. 223
1.0
5.197 0.000 0.000
0.000 5.197 0.000
0.000 0.000 5.197
Mo Zr
6 2
Cartesian
0.000 3.898 2.599
1.299 2.599 0.000
2.599 0.000 3.898
3.898 2.599 0.000
0.000 1.299 2.599
2.599 0.000 1.299
0.000 0.000 0.000
2.599 2.599 2.599

---

Entry 15:
Tm2NiHRh6 (PBE, relaxed); uncorrected energy = -6.5940 eV/atom; space-group type = R-3m, No. 166
1.0
5.498 0.036 -0.025
-0.049 6.659 -0.795
2.747 2.750 3.884
Rh Tm H Ni
6 2 1 1
Cartesian
4.122 4.700 -0.363
1.303 4.677 -0.347
2.735 3.405 1.535
6.893 4.768 3.412
4.074 4.745 3.428
5.461 6.040 1.529
2.705 6.907 0.970
5.491 2.538 2.094
2.724 3.347 -0.410
0.000 0.000 0.000

---

Entry 16:
CsAcAs2Pt4 (PBE, relaxed); uncorrected energy = -5.4226 eV/atom; energy of formation from the pure elements = -0.620 eV per atom; space-group type = P4/mmm, No. 123
1.0
4.135 0.000 0.000
0.000 4.135 0.000
0.000 0.000 12.056
Ac Cs Pt As
1 1 4 2
Cartesian
0.000 0.000 0.000
0.000 0.000 6.028
2.067 0.000 9.687
2.067 0.000 2.368
0.000 2.067 9.687
0.000 2.067 2.368
2.067 2.067 8.338
2.067 2.067 3.718

---

Entry 17:
Li2ZnH5 (PBE, relaxed); uncorrected energy = -2.7553 eV/atom; space-group type = Cmcm, No. 63
1.0
-0.561 -3.536 -1.140
3.794 0.381 3.143
-5.686 -1.363 7.029
Zn H Li
2 10 4
Cartesian
-0.294 -0.786 2.583
-2.159 -3.733 6.450
-3.872 -3.596 6.868
-0.663 -2.519 1.948
-2.320 -4.416 8.650
-2.488 -0.667 3.295
0.035 -3.851 5.738
-2.172 -3.188 4.767
-0.132 -0.102 0.383
-1.789 -2.000 7.084
1.419 -0.923 2.165
-0.280 -1.331 4.266
-2.033 -1.329 5.123
1.392 -2.756 1.670
-0.419 -3.190 3.909
-3.844 -1.763 7.362

---

Entry 18:
Ac3CeTe6 (PBE, relaxed); uncorrected energy = -5.1880 eV/atom; energy above the most stable polymorph in this dataset = 0 meV/atom; space-group type = P2_1/m, No. 11; formation energy (no corrections) = -1.477 eV per atom
1.0
4.687 0.000 0.000
0.000 12.475 -4.240
0.000 0.112 13.627
Te Ac Ce
12 6 2
Cartesian
3.515 5.036 -0.772
1.172 1.146 11.806
1.172 11.217 3.536
3.515 6.104 6.366
1.172 7.551 10.160
1.172 6.482 3.022
3.515 1.370 5.851
1.172 3.064 8.699
1.172 2.280 2.627
3.515 11.440 -2.418
3.515 9.523 0.688
3.515 10.307 6.761
3.515 8.595 3.988
3.515 1.984 0.388
3.515 5.333 9.524
1.172 7.254 -0.137
1.172 3.992 5.399
1.172 10.602 8.999
3.515 0.593 9.180
1.172 11.993 0.208

---

Entry 19:
Ho2CdHg6 (PBE, relaxed); uncorrected energy = -1.5891 eV/atom; energy above the most stable polymorph in this dataset = 0 meV/atom; energy of formation from the pure elements = -0.269 eV per atom; space-group type = C2/m, No. 12
1.0
5.130 0.000 0.000
-2.565 4.434 -0.002
0.000 -0.030 9.386
Hg Ho Cd
6 2 1
Cartesian
0.000 2.953 0.643
0.000 2.942 3.744
2.565 4.426 1.557
2.565 1.461 5.640
2.565 1.450 8.741
0.000 -0.022 7.827
2.565 1.466 2.539
0.000 2.938 6.845
0.000 -0.015 4.693

---

Entry 20:
BeCdPt3 (PBE, relaxed); uncorrected energy = -4.8203 eV/atom; energy above the most stable polymorph in this dataset = 171 meV/atom; energy of formation from the pure elements = -0.268 eV per atom; space-group type = Pnma, No. 62
1.0
5.215 0.000 0.000
0.000 7.309 0.000
0.000 0.000 8.637
Be Pt Cd
4 12 4
Cartesian
0.061 1.827 8.336
2.546 5.482 4.017
5.154 5.482 0.302
2.669 1.827 4.620
5.105 6.845 7.177
2.717 0.465 2.858
3.689 1.827 6.669
2.498 4.119 5.780
0.110 0.465 1.461
5.105 4.119 7.177
2.498 6.845 5.780
2.717 3.190 2.858
1.081 1.827 6.287
4.134 5.482 2.351
0.110 3.190 1.461
1.527 5.482 1.968
2.608 0.000 0.000
0.000 0.000 4.319
2.608 3.655 0.000
0.000 3.655 4.319